(a)
A plane-wave DFT calculation with PBE-GGA was carried out for a relaxed structure of LaTmHg.

a b c (Å): 17.1066 3.7928 5.5125
angles (deg): 90.00 90.24 90.00
With the nearest neighbours (Å) after each atom.
Space group C2/m (No. 12)
Asymmetric unit:
La: 0.0787 0.0000 0.2440 (multiplicity 4)  6 Hg 3.35-3.48
Tm: 0.2318 0.0000 0.7490 (multiplicity 4)  2 Hg 3.05, 4 Tm 3.40-3.41
Hg: 0.0918 0.5000 0.7432 (multiplicity 4)  2 Tm 3.05, 4 La 3.35-3.36

(b)
A plane-wave DFT calculation with PBE-GGA was carried out for a relaxed structure of LaTmHg.

a b c (Å): 5.1544 5.1544 3.9537
angles (deg): 90.00 90.00 120.00
With the nearest neighbours (Å) after each atom.
Space group P-6m2 (No. 187)
Asymmetric unit:
La: 0.0000 0.0000 0.0000 (multiplicity 1)  6 Tm 3.57, 6 Hg 3.57, 2 La 3.95
Tm: 0.3333 0.6667 0.5000 (multiplicity 1)  3 Hg 2.98
Hg: 0.6667 0.3333 0.5000 (multiplicity 1)  3 Tm 2.98

(c)
A plane-wave DFT calculation with PBE-GGA was carried out for a relaxed structure of LaTmHg.

a b c (Å): 3.7057 3.7057 12.9452
angles (deg): 90.00 90.00 90.00
With the nearest neighbours (Å) after each atom.
Space group I4mm (No. 107)
Asymmetric unit:
La: 0.0000 0.0000 0.0000 (multiplicity 2)  4 Hg 3.47, 4 Tm 3.64, 4 La 3.71
Tm: 0.0000 0.0000 0.3048 (multiplicity 2)  4 Hg 3.11
Hg: 0.0000 0.0000 0.6752 (multiplicity 2)  4 Tm 3.11, 4 La 3.47

Bottom line: (a), by a margin of 0.024 eV/atom.

(a)
A plane-wave DFT calculation with PBE-GGA was carried out for a relaxed structure of La2TmHg.

a b c (Å): 3.5659 3.5659 37.3753
angles (deg): 90.00 90.00 120.00
With the nearest neighbours (Å) after each atom.
Space group R-3m (No. 166, hexagonal axes)
Asymmetric unit:
La: 0.0000 0.0000 0.0896 (multiplicity 6)  1 Hg 3.35, 3 Tm 3.54, 6 La 3.57
Tm: 0.0000 0.0000 0.5000 (multiplicity 3)  6 La 3.54, 6 Tm 3.57
Hg: 0.0000 0.0000 0.0000 (multiplicity 3)  2 La 3.35, 6 Hg 3.57

(b)
A plane-wave DFT calculation with PBE-GGA was carried out for a relaxed structure of La2TmHg.

a b c (Å): 3.8046 3.8046 8.8744
angles (deg): 90.00 90.00 90.00
With the nearest neighbours (Å) after each atom.
Space group P4/mmm (No. 123)
Asymmetric unit:
La: 0.0000 0.0000 0.2288 (multiplicity 2)  4 Hg 3.37, 4 Tm 3.61
Tm: 0.5000 0.5000 0.5000 (multiplicity 1)  8 La 3.61, 4 Tm 3.80
Hg: 0.5000 0.5000 0.0000 (multiplicity 1)  8 La 3.37

(c)
A plane-wave DFT calculation with PBE-GGA was carried out for a relaxed structure of La2TmHg.

a b c (Å): 3.7181 3.7181 32.7200
angles (deg): 90.00 90.00 120.00
With the nearest neighbours (Å) after each atom.
Space group R3m (No. 160, hexagonal axes)
Asymmetric unit:
La: 0.0000 0.0000 0.0000 (multiplicity 3)  3 Hg 3.37, 3 Tm 3.59, 6 La 3.72
La: 0.0000 0.0000 0.1750 (multiplicity 3)  3 Hg 3.35, 3 Tm 3.56, 6 La 3.72
Tm: 0.0000 0.0000 0.7547 (multiplicity 3)  6 La 3.56-3.59, 6 Tm 3.72
Hg: 0.0000 0.0000 0.5871 (multiplicity 3)  6 La 3.35-3.37, 6 Hg 3.72

Bottom line: (b), by a margin of 0.079 eV/atom.

(a)
A plane-wave DFT calculation with PBE-GGA was carried out for a relaxed structure of La2TmHg.

a b c (Å): 7.9195 7.9195 7.9195
angles (deg): 90.00 90.00 90.00
With the nearest neighbours (Å) after each atom.
Space group Fm-3m (No. 225)
Asymmetric unit:
La: 0.2500 0.2500 0.2500 (multiplicity 8)  4 Hg 3.43, 4 Tm 3.43
Tm: 0.0000 0.0000 0.0000 (multiplicity 4)  8 La 3.43
Hg: 0.0000 0.0000 0.5000 (multiplicity 4)  8 La 3.43

(b)
A plane-wave DFT calculation with PBE-GGA was carried out for a relaxed structure of La2TmHg.

a b c (Å): 7.4836 7.4863 17.8141
angles (deg): 90.00 90.00 90.00
With the nearest neighbours (Å) after each atom.
Space group Fmmm (No. 69)
Asymmetric unit:
La: 0.0000 0.0000 0.1368 (multiplicity 8)  4 Hg 3.33, 4 La 3.60
La: 0.2500 0.2500 0.0000 (multiplicity 8)  8 La 3.60-3.74, 4 Tm 3.73
Tm: 0.0000 0.0000 0.3526 (multiplicity 8)  4 Hg 3.22
Hg: 0.2500 0.2500 0.2500 (multiplicity 8)  4 Tm 3.22, 4 La 3.33

Bottom line: (b), by a margin of 0.125 eV/atom.

(a)
A plane-wave DFT calculation with PBE-GGA was carried out for a relaxed structure of La4TmHg.

a b c (Å): 5.4537 5.4537 7.6417
angles (deg): 90.00 90.00 90.00
With the nearest neighbours (Å) after each atom.
Space group P4/mmm (No. 123)
Asymmetric unit:
La: 0.0000 0.5000 0.2439 (multiplicity 4)  2 Hg 3.30, 2 Tm 3.36
Tm: 0.0000 0.0000 0.5000 (multiplicity 1)  8 La 3.36
Hg: 0.5000 0.5000 0.0000 (multiplicity 1)  8 La 3.30

(b)
A plane-wave DFT calculation with PBE-GGA was carried out for a relaxed structure of La4TmHg.

a b c (Å): 3.7627 3.7627 14.1318
angles (deg): 90.00 90.00 90.00
With the nearest neighbours (Å) after each atom.
Space group P4/mmm (No. 123)
Asymmetric unit:
La: 0.0000 0.0000 0.1473 (multiplicity 2)  4 Hg 3.38, 8 La 3.69-3.76
La: 0.5000 0.5000 0.3284 (multiplicity 2)  4 Tm 3.60, 8 La 3.69-3.76
Tm: 0.0000 0.0000 0.5000 (multiplicity 1)  8 La 3.60, 4 Tm 3.76
Hg: 0.5000 0.5000 0.0000 (multiplicity 1)  8 La 3.38, 4 Hg 3.76

Bottom line: (b), by a margin of 0.365 eV/atom.